The following is a DFT calculation (PBE) of a geometry-optimized SiSbIBr2 structure.

The structure in POSCAR format:
```
SiSbIBr2
1.0
-2.218 2.299 4.632
-5.151 -2.227 -1.361
1.245 -4.654 2.906
I Sb Si Br
1 1 1 2
direct
0.000 0.000 0.000
0.500 0.500 0.500
0.000 0.500 0.000
0.000 0.000 0.500
0.500 0.000 0.000
```

## Properties
- E_form (uncorrected): 0.912 eV/atom
- V: 36.6 Å³ per atom
- Space-group type: No. 123
- Size of the total moment: 1.0 μB per cell